VASP calculation (PBE) on a relaxed structure of CsIn2AuBr8.

Properties
Spin magnetization, μB per cell: 0.00
ΔE_f (raw), eV/atom: -0.822
Space group: No. 148

Geometry as POSCAR:
```
CsIn2AuBr8
1.0
7.101 0.000 0.000
3.551 6.150 0.000
3.551 2.050 10.311
Cs Br In Au
1 8 2 1
Direct
0.500 0.500 0.500
0.281 0.931 0.165
0.378 0.719 0.835
0.622 0.281 0.165
0.069 0.378 0.835
0.172 0.172 0.484
0.931 0.622 0.165
0.719 0.069 0.835
0.828 0.828 0.516
0.254 0.254 0.237
0.746 0.746 0.763
0.000 0.000 0.000
```


VASP calculation (PBE) on a relaxed structure of PrGa2Rh.

Properties
Spin magnetization, μB per cell: 0.00
Space group: No. 194
Total DFT energy (no corrections), eV per atom: -5.28

Geometry as POSCAR:
```
PrGa2Rh
1.0
-3.461 0.773 2.323
-0.338 -0.549 -4.190
-1.336 -10.387 1.468
Ga Rh Pr
4 2 2
Direct
0.667 0.333 0.070
0.333 0.667 0.930
0.333 0.667 0.570
0.667 0.333 0.430
0.000 0.000 0.000
0.000 0.000 0.500
0.333 0.667 0.250
0.667 0.333 0.750
```


VASP calculation (PBE) on a relaxed structure of V2RhN.

Properties
Spin magnetization, μB per cell: 0.00
ΔE_f (raw), eV/atom: -0.772
Space group: No. 160

Geometry as POSCAR:
```
V2RhN
1.0
-1.937 1.765 1.131
-2.240 0.846 -1.554
-4.797 -4.231 1.990
V Rh N
2 1 1
Direct
0.276 0.276 0.171
0.058 0.058 0.826
0.499 0.499 0.503
0.667 0.667 0.000
```